[1]
Density functional theory data (PBE) for crystalline Ti3Mn4Re at its relaxed geometry.

a = 2.966 Å, b = 2.966 Å, c = 11.940 Å
α = 90.00°, β = 90.00°, γ = 90.00°
Element x y z (fractional)
Mn  0.000  0.000  0.627
Re  0.500  0.500  0.000
Ti  0.500  0.500  0.500
Mn  0.000  0.000  0.878
Ti  0.500  0.500  0.253
Mn  0.000  0.000  0.122
Mn  0.000  0.000  0.373
Ti  0.500  0.500  0.747

Results
The space group is P4/mmm (123). The calculation puts the theoretical density at 8.7 g/cm³. The total energy comes out at -74.592 eV/cell. As for the formation energy: -0.22 eV per atom. The size of the total moment comes out at 0.98 μB per cell.

***

[2]
Density functional theory data (PBE) for crystalline FeIr2Au at its relaxed geometry.

a = 4.401 Å, b = 4.401 Å, c = 4.401 Å
α = 60.00°, β = 60.00°, γ = 60.00°
Element x y z (fractional)
Fe  0.000  0.000  0.000
Ir  0.750  0.750  0.750
Au  0.500  0.500  0.500
Ir  0.250  0.250  0.250

Results
The space group is Fm-3m (225). The calculation puts the theoretical density at 17.6 g/cm³. The calculation puts the energy above the lowest structure with this stoichiometry at 25.5 kJ per mole of atoms. The total energy comes out at -27.903 eV/cell. As for the formation energy: 0.39 eV per atom. The size of the total moment comes out at 3.38 μB per cell.

***

[3]
Density functional theory data (PBE) for crystalline ZrSc2Tl at its relaxed geometry.

a = 10.464 Å, b = 10.464 Å, c = 10.464 Å
α = 18.16°, β = 18.16°, γ = 18.16°
Element x y z (fractional)
Zr  0.749  0.749  0.749
Sc  0.002  0.002  0.002
Tl  0.500  0.500  0.500
Sc  0.249  0.249  0.249

Results
The space group is R3m (160). The calculation puts the theoretical density at 6.6 g/cm³. The calculation puts the energy above the lowest structure with this stoichiometry at 13.1 kJ per mole of atoms. The total energy comes out at -23.706 eV/cell. As for the formation energy: -0.03 eV per atom. The size of the total moment comes out at 0.64 μB per cell.

***

[4]
Density functional theory data (PBE) for crystalline LaCu2AgH6 at its relaxed geometry.

a = 4.628 Å, b = 4.628 Å, c = 5.929 Å
α = 67.03°, β = 67.03°, γ = 60.00°
Element x y z (fractional)
H  0.438  0.438  0.195
H  0.072  0.562  0.805
Ag  0.500  0.500  0.500
La  0.000  0.000  0.000
H  0.562  0.072  0.805
H  0.928  0.438  0.195
H  0.438  0.928  0.195
Cu  0.785  0.785  0.644
H  0.562  0.562  0.805
Cu  0.215  0.215  0.356

Results
The space group is R-3m (166). The calculation puts the theoretical density at 6.4 g/cm³. The total energy comes out at -36.662 eV/cell. The size of the total moment comes out at 0.00 μB per cell.